No. 1
Density functional theory data (PBE) for a relaxed structure of Sr2LiLaTaO6.

Geometry as CIF:
```
data_Sr2LiLaTaO6
_symmetry_space_group_name_H-M 'P 1'
_symmetry_Int_Tables_number 1
_cell_length_a 6.303
_cell_length_b 6.303
_cell_length_c 6.303
_cell_angle_alpha 122.85
_cell_angle_beta 120.23
_cell_angle_gamma 87.36
loop_
_symmetry_equiv_pos_as_xyz
'x,y,z'
loop_
_atom_site_label
_atom_site_fract_x
_atom_site_fract_y
_atom_site_fract_z
O1 0.776 0.776 0.000
O2 0.224 0.224 0.000
O3 0.772 0.763 0.535
O4 0.228 0.237 0.465
O5 0.772 0.237 0.009
O6 0.228 0.763 0.991
Sr1 0.184 0.684 0.500
Sr2 0.816 0.316 0.500
Li1 0.500 0.000 0.500
Ta1 0.000 0.000 0.000
La1 0.500 0.500 0.000
```

Summary:
**Energy above the most stable polymorph in this dataset**: 141 meV per atom
**ΔE_f (raw)**: -2.56 eV per atom

---

No. 2
Density functional theory data (PBE) for a relaxed structure of SrLiLaTi3O9.

Geometry as CIF:
```
data_SrLiLaTi3O9
_symmetry_space_group_name_H-M 'P 1'
_symmetry_Int_Tables_number 1
_cell_length_a 5.530
_cell_length_b 5.530
_cell_length_c 6.866
_cell_angle_alpha 90.00
_cell_angle_beta 90.00
_cell_angle_gamma 120.00
loop_
_symmetry_equiv_pos_as_xyz
'x,y,z'
loop_
_atom_site_label
_atom_site_fract_x
_atom_site_fract_y
_atom_site_fract_z
O1 0.987 0.493 0.360
O2 0.832 0.168 0.010
O3 0.168 0.832 0.683
O4 0.336 0.168 0.010
O5 0.832 0.664 0.010
O6 0.168 0.336 0.683
O7 0.507 0.493 0.360
O8 0.664 0.832 0.683
O9 0.507 0.013 0.360
Ti1 0.667 0.333 0.153
Ti2 0.333 0.667 0.485
Ti3 0.000 0.000 0.839
Li1 0.333 0.667 0.885
La1 0.667 0.333 0.661
Sr1 0.000 0.000 0.321
```

Summary:
**ΔE_f (raw)**: -3.05 eV per atom

---

No. 3
Density functional theory data (PBE) for a relaxed structure of LiLa2TcO6.

Geometry as CIF:
```
data_LiLa2TcO6
_symmetry_space_group_name_H-M 'P 1'
_symmetry_Int_Tables_number 1
_cell_length_a 5.576
_cell_length_b 5.803
_cell_length_c 7.896
_cell_angle_alpha 90.00
_cell_angle_beta 89.64
_cell_angle_gamma 90.00
loop_
_symmetry_equiv_pos_as_xyz
'x,y,z'
loop_
_atom_site_label
_atom_site_fract_x
_atom_site_fract_y
_atom_site_fract_z
O1 0.790 0.811 0.546
O2 0.910 0.528 0.242
O3 0.290 0.689 0.046
O4 0.710 0.311 0.954
O5 0.590 0.028 0.258
O6 0.815 0.784 0.950
O7 0.185 0.216 0.050
O8 0.210 0.189 0.454
O9 0.685 0.284 0.550
O10 0.090 0.472 0.758
O11 0.410 0.972 0.742
O12 0.315 0.716 0.450
Tc1 0.500 0.000 0.500
Tc2 0.000 0.500 0.000
Li1 0.000 0.500 0.500
Li2 0.500 0.000 0.000
La1 0.988 0.059 0.748
La2 0.012 0.941 0.252
La3 0.488 0.441 0.248
La4 0.512 0.559 0.752
```

Summary:
**ΔE_f (raw)**: -2.58 eV per atom

---

No. 4
Density functional theory data (PBE) for a relaxed structure of Li2LaTeO.

Geometry as CIF:
```
data_Li2LaTeO
_symmetry_space_group_name_H-M 'P 1'
_symmetry_Int_Tables_number 1
_cell_length_a 4.520
_cell_length_b 4.803
_cell_length_c 4.520
_cell_angle_alpha 90.00
_cell_angle_beta 90.00
_cell_angle_gamma 90.00
loop_
_symmetry_equiv_pos_as_xyz
'x,y,z'
loop_
_atom_site_label
_atom_site_fract_x
_atom_site_fract_y
_atom_site_fract_z
Te1 0.500 0.500 0.500
Li1 0.000 0.000 0.500
Li2 0.500 0.000 0.000
La1 0.000 0.500 0.000
O1 0.000 0.000 0.000
```

Summary:
**ΔE_f (raw)**: -1.63 eV per atom

---

No. 5
Density functional theory data (PBE) for a relaxed structure of LiLa2TeO.

Geometry as CIF:
```
data_LiLa2TeO
_symmetry_space_group_name_H-M 'P 1'
_symmetry_Int_Tables_number 1
_cell_length_a 5.164
_cell_length_b 5.164
_cell_length_c 4.128
_cell_angle_alpha 90.00
_cell_angle_beta 90.00
_cell_angle_gamma 90.00
loop_
_symmetry_equiv_pos_as_xyz
'x,y,z'
loop_
_atom_site_label
_atom_site_fract_x
_atom_site_fract_y
_atom_site_fract_z
Li1 0.000 0.000 0.500
O1 0.000 0.000 0.000
La1 0.500 0.000 0.000
La2 0.000 0.500 0.000
Te1 0.500 0.500 0.500
```

Summary:
**ΔE_f (raw)**: -1.63 eV per atom

---

No. 6
Density functional theory data (PBE) for a relaxed structure of LiLa3Ti4O12.

Geometry as CIF:
```
data_LiLa3Ti4O12
_symmetry_space_group_name_H-M 'P 1'
_symmetry_Int_Tables_number 1
_cell_length_a 8.790
_cell_length_b 8.790
_cell_length_c 8.790
_cell_angle_alpha 143.14
_cell_angle_beta 143.14
_cell_angle_gamma 53.11
loop_
_symmetry_equiv_pos_as_xyz
'x,y,z'
loop_
_atom_site_label
_atom_site_fract_x
_atom_site_fract_y
_atom_site_fract_z
La1 0.749 0.749 0.000
La2 0.000 0.000 0.000
La3 0.251 0.251 0.000
O1 0.115 0.626 0.000
O2 0.374 0.374 0.489
O3 0.500 0.000 0.500
O4 0.750 0.250 0.500
O5 0.626 0.115 0.000
O6 0.374 0.885 0.000
O7 0.885 0.885 0.511
O8 0.000 0.500 0.500
O9 0.115 0.115 0.489
O10 0.885 0.374 0.000
O11 0.250 0.750 0.500
O12 0.626 0.626 0.511
Li1 0.500 0.500 0.000
Ti1 0.877 0.377 0.500
Ti2 0.377 0.877 0.500
Ti3 0.123 0.623 0.500
Ti4 0.623 0.123 0.500
```

Summary:
**Energy above the most stable polymorph in this dataset**: 44 meV per atom
**ΔE_f (raw)**: -3.11 eV per atom

---

Number 1: VASP energy -7.27 eV per atom. Number 2: VASP energy -8.17 eV per atom. Number 3: VASP energy -7.77 eV per atom. Number 4: VASP energy -5.00 eV per atom. Number 5: VASP energy -5.60 eV per atom. Number 6: VASP energy -8.50 eV per atom.